# 1
Crystalline NiP2Os at its relaxed geometry, computed with PBE-GGA.

Structure (CIF):
```
data_NiP2Os
_symmetry_space_group_name_H-M 'I -4 m 2'
_symmetry_Int_Tables_number 119
_symmetry_space_group_name_Hall 'I -4 -2'
_cell_length_a 3.521
_cell_length_b 3.521
_cell_length_c 8.228
_cell_angle_alpha 90.00
_cell_angle_beta 90.00
_cell_angle_gamma 90.00
loop_
_atom_site_label
_atom_site_fract_x
_atom_site_fract_y
_atom_site_fract_z
_atom_site_occupancy
Ni1 0.000 0.000 0.000 1
P1 0.000 0.000 0.500 1
P2 0.000 0.500 0.250 1
Os1 0.000 0.500 0.750 1
```

## Properties
The calculation puts the volume at 102.0 Å³ per cell. The size of the total moment comes out at 0.000 μB/atom. Its total energy is -53.56 eV for the cell shown.

# 2
Crystalline NiPOs2 at its relaxed geometry, computed with PBE-GGA.

Structure (CIF):
```
data_NiPOs2
_symmetry_space_group_name_H-M 'F -4 3 m'
_symmetry_Int_Tables_number 216
_symmetry_space_group_name_Hall 'F -4 2 3'
_cell_length_a 5.994
_cell_length_b 5.994
_cell_length_c 5.994
_cell_angle_alpha 90.00
_cell_angle_beta 90.00
_cell_angle_gamma 90.00
loop_
_atom_site_label
_atom_site_fract_x
_atom_site_fract_y
_atom_site_fract_z
_atom_site_occupancy
Ni1 0.000 0.000 0.000 1
P1 0.250 0.250 0.250 1
Os1 0.000 0.000 0.500 1
Os2 0.250 0.250 0.750 1
```

## Properties
The calculation puts the volume at 215.4 Å³ per cell. The size of the total moment comes out at 0.000 μB/atom. Its total energy is -126.65 eV for the cell shown.

ΔE to the lowest computed polymorph (meV/atom)
527; 490